A plane-wave DFT calculation with PBE was carried out for a relaxed structure of ZnBiAu2.

Cell: 3.384 3.384 7.159 Å, 90.00 90.00 90.00°
Positions (direct):
Bi 0.500 0.500 0.500
Au 0.000 0.000 0.198
Au 0.000 0.000 0.802
Zn 0.500 0.500 0.000

Results
DFT formation energy in meV/atom: -66
Space-group type: P4/mmm, No. 123


A plane-wave DFT calculation with PBE was carried out for a relaxed structure of Ag3AuO2F6.

Cell: 4.981 6.385 7.098 Å, 116.73 105.97 90.00°
Positions (direct):
F 0.242 0.697 0.849
F 0.758 0.848 0.151
F 0.758 0.303 0.151
F 0.757 0.830 0.661
F 0.243 0.170 0.339
F 0.242 0.152 0.849
Ag 0.500 0.500 0.500
Ag 0.000 0.500 0.000
Ag 0.500 0.000 0.500
O 0.706 0.342 0.683
O 0.294 0.658 0.317
Au 0.500 0.000 0.000

Results
Space-group type: C2/m, No. 12
ΔE_f (raw) in eV/atom: -0.731


Computed values of V (unit: Å³ per cell) for the preceding records, in sequence: 82 192.
Computed values of total energy (unit: eV per atom) for the preceding records, in sequence: -2.993 -3.479.
Computed values of magnetic moment (unit: μB/atom) for the preceding records, in sequence: 0.000 0.037.